# KZr2Os (PBE, relaxed)
data_KZr2Os
_chemical_formula_sum 'K2 Zr4 Os2'
_cell_length_a 8.937
_cell_length_b 8.937
_cell_length_c 8.937
_cell_angle_alpha 137.68
_cell_angle_beta 137.68
_cell_angle_gamma 61.40
_symmetry_space_group_name_H-M 'P 1'
_symmetry_Int_Tables_number 1
_symmetry_space_group_name_Hall 'P 1'
loop_
_atom_site_label
_atom_site_fract_x
_atom_site_fract_y
_atom_site_fract_z
K1 0.375 0.625 0.750
K2 0.625 0.375 0.250
Zr1 0.000 0.000 0.000
Zr2 0.000 0.000 0.500
Zr3 0.000 0.500 0.000
Zr4 0.500 0.000 0.500
Os1 0.125 0.875 0.250
Os2 0.875 0.125 0.750
# Space group = I4_1/amd
# Calculated formation energy = 1.1500 eV per atom
# V = 39.990 Å³/atom
# Fermi-level density of states = 3.852 states/eV/f.u.
# Electronic total energy = -6.206 eV per atom